Entry 1:
A geometry-optimized GaFe2F structure. Source: Alexandria, functional PBE with a Hubbard U.

a b c (Å): 4.395 4.395 4.395
angles (deg): 60.00 60.00 60.00
Sites, in units of the cell vectors:
Fe 0.250 0.250 0.250
Fe 0.750 0.750 0.750
F 0.000 0.000 0.000
Ga 0.500 0.500 0.500

final energy	-3.961	eV per atom

Entry 2:
A geometry-optimized GaFeF4 structure. Source: Alexandria, functional PBE with a Hubbard U.

a b c (Å): 5.347 5.551 5.832
angles (deg): 90.00 90.00 90.00
Sites, in units of the cell vectors:
F 0.753 0.335 0.500
F 0.844 0.828 0.725
F 0.850 0.262 0.000
F 0.344 0.172 0.225
F 0.253 0.665 0.000
F 0.844 0.828 0.275
F 0.350 0.738 0.500
F 0.344 0.172 0.775
Fe 0.576 0.021 0.500
Fe 0.076 0.979 0.000
Ga 0.506 0.400 0.000
Ga 0.006 0.600 0.500

final energy	-4.844	eV per atom

Entry 3:
A geometry-optimized GaFe2F8 structure. Source: Alexandria, functional PBE with a Hubbard U.

a b c (Å): 6.557 5.687 5.687
angles (deg): 120.00 90.00 90.00
Sites, in units of the cell vectors:
F 0.922 0.333 0.667
F 0.330 0.157 0.314
F 0.078 0.667 0.333
F 0.330 0.686 0.843
F 0.670 0.843 0.686
F 0.670 0.843 0.157
F 0.330 0.157 0.843
F 0.670 0.314 0.157
Fe 0.799 0.667 0.333
Fe 0.201 0.333 0.667
Ga 0.500 0.000 0.000

final energy	-4.954	eV per atom

Entry 4:
A geometry-optimized GaFe2F6 structure. Source: Alexandria, functional PBE with a Hubbard U.

a b c (Å): 4.868 4.868 10.025
angles (deg): 90.00 90.00 90.00
Sites, in units of the cell vectors:
F 0.195 0.805 0.500
F 0.299 0.299 0.332
F 0.201 0.799 0.832
F 0.799 0.201 0.832
F 0.201 0.799 0.168
F 0.695 0.695 0.000
F 0.299 0.299 0.668
F 0.701 0.701 0.332
F 0.805 0.195 0.500
F 0.799 0.201 0.168
F 0.305 0.305 0.000
F 0.701 0.701 0.668
Fe 0.500 0.500 0.167
Fe 0.000 0.000 0.333
Fe 0.000 0.000 0.667
Fe 0.500 0.500 0.833
Ga 0.000 0.000 0.000
Ga 0.500 0.500 0.500

final energy	-5.120	eV per atom

Entry 5:
A geometry-optimized GaFeF5 structure. Source: Alexandria, functional PBE with a Hubbard U.

a b c (Å): 3.763 5.362 5.362
angles (deg): 73.25 69.46 69.46
Sites, in units of the cell vectors:
F 0.000 0.301 0.699
F 0.500 0.000 0.000
F 0.246 0.754 0.754
F 0.000 0.699 0.301
F 0.754 0.246 0.246
Ga 0.000 0.000 0.000
Fe 0.500 0.500 0.500

final energy	-5.106	eV per atom

Entry 6:
A geometry-optimized Ga3FeF structure. Source: Alexandria, functional PBE with a Hubbard U.

a b c (Å): 4.590 4.590 4.590
angles (deg): 90.00 90.00 90.00
Sites, in units of the cell vectors:
Ga 0.000 0.000 0.500
Ga 0.000 0.500 0.000
Ga 0.500 0.000 0.000
F 0.000 0.000 0.000
Fe 0.500 0.500 0.500

final energy	-3.262	eV per atom
polymorph energy (0 for the lowest one)	0.043	eV/atom

Entry 7:
A geometry-optimized GaFeF5 structure. Source: Alexandria, functional PBE with a Hubbard U.

a b c (Å): 5.358 5.358 7.514
angles (deg): 69.48 69.48 73.35
Sites, in units of the cell vectors:
F 0.771 0.737 0.125
F 0.692 0.290 0.985
F 0.229 0.263 0.875
F 0.710 0.308 0.515
F 0.263 0.229 0.375
F 0.737 0.771 0.625
F 0.290 0.692 0.485
F 0.959 0.041 0.250
F 0.041 0.959 0.750
F 0.308 0.710 0.015
Fe 0.503 0.497 0.250
Fe 0.497 0.503 0.750
Ga 0.000 0.000 0.500
Ga 0.000 0.000 0.000

final energy	-5.107	eV per atom

Entry 8:
A geometry-optimized InGaFeF6 structure. Source: Alexandria, functional PBE with a Hubbard U.

a b c (Å): 5.452 5.463 5.910
angles (deg): 90.02 90.04 60.11
Sites, in units of the cell vectors:
Fe 0.666 0.668 0.500
F 0.027 0.608 0.685
F 0.365 0.607 0.314
F 0.612 0.368 0.680
F 0.607 0.023 0.318
F 0.369 0.024 0.683
F 0.020 0.367 0.320
In 0.001 0.999 0.000
Ga 0.332 0.335 0.500

final energy	-4.896	eV per atom

Entry 9:
A geometry-optimized InGaFeF2 structure. Source: Alexandria, functional PBE with a Hubbard U.

a b c (Å): 4.340 6.339 4.340
angles (deg): 90.00 90.00 90.00
Sites, in units of the cell vectors:
Ga 0.000 0.000 0.000
F 0.500 0.000 0.000
F 0.000 0.000 0.500
Fe 0.000 0.500 0.000
In 0.500 0.500 0.500

final energy	-3.751	eV per atom

Entry 10:
A geometry-optimized K2GaFeF6 structure. Source: Alexandria, functional PBE with a Hubbard U.

a b c (Å): 5.932 6.031 8.510
angles (deg): 90.00 90.00 90.00
Sites, in units of the cell vectors:
F 0.256 0.499 0.000
F 0.500 0.250 0.250
F 0.000 0.750 0.250
F 0.000 0.750 0.750
F 0.500 0.250 0.750
F 0.244 0.501 0.500
F 0.756 0.998 0.500
F 0.244 0.998 0.500
F 0.744 0.002 0.000
F 0.756 0.501 0.500
F 0.744 0.499 0.000
F 0.256 0.002 0.000
Fe 0.000 0.750 0.500
Fe 0.500 0.250 0.000
K 0.500 0.750 0.749
K 0.000 0.250 0.751
K 0.000 0.250 0.249
K 0.500 0.750 0.251
Ga 0.000 0.750 0.000
Ga 0.500 0.250 0.500

final energy	-4.693	eV per atom

Entry 11:
A geometry-optimized KGaFeF6 structure. Source: Alexandria, functional PBE with a Hubbard U.

a b c (Å): 5.447 5.447 11.255
angles (deg): 90.00 90.00 120.00
Sites, in units of the cell vectors:
F 0.390 0.366 0.346
F 0.634 0.024 0.346
F 0.610 0.976 0.846
F 0.024 0.634 0.846
F 0.024 0.390 0.654
F 0.366 0.390 0.846
F 0.610 0.634 0.654
F 0.390 0.024 0.154
F 0.976 0.610 0.346
F 0.976 0.366 0.154
F 0.366 0.976 0.654
F 0.634 0.610 0.154
Fe 0.667 0.333 0.750
Fe 0.333 0.667 0.250
Ga 0.333 0.667 0.750
Ga 0.667 0.333 0.250
K 0.000 0.000 0.000
K 0.000 0.000 0.500

final energy	-5.010	eV per atom

Entry 12:
A geometry-optimized GaFeN2F structure. Source: Alexandria, functional PBE with a Hubbard U.

a b c (Å): 3.863 3.863 3.936
angles (deg): 90.00 90.00 90.00
Sites, in units of the cell vectors:
N 0.500 0.000 0.000
N 0.000 0.500 0.000
Fe 0.000 0.000 0.000
Ga 0.500 0.500 0.500
F 0.000 0.000 0.500

final energy	-5.050	eV per atom
polymorph energy (0 for the lowest one)	0.000	eV/atom

Entry 13:
A geometry-optimized GaFeN2F structure. Source: Alexandria, functional PBE with a Hubbard U.

a b c (Å): 3.862 3.862 3.877
angles (deg): 90.00 90.00 90.00
Sites, in units of the cell vectors:
F 0.000 0.000 0.500
Fe 0.500 0.500 0.500
Ga 0.000 0.000 0.000
N 0.500 0.000 0.000
N 0.000 0.500 0.000

final energy	-4.975	eV per atom
polymorph energy (0 for the lowest one)	0.075	eV/atom

Entry 14:
A geometry-optimized GaFeNF2 structure. Source: Alexandria, functional PBE with a Hubbard U.

a b c (Å): 3.901 3.901 3.907
angles (deg): 90.00 90.00 90.00
Sites, in units of the cell vectors:
Fe 0.500 0.500 0.500
N 0.000 0.000 0.500
F 0.000 0.500 0.000
F 0.500 0.000 0.000
Ga 0.000 0.000 0.000

final energy	-4.982	eV per atom
polymorph energy (0 for the lowest one)	0.000	eV/atom

Entry 15:
A geometry-optimized GaFeNF2 structure. Source: Alexandria, functional PBE with a Hubbard U.

a b c (Å): 3.959 3.959 4.132
angles (deg): 90.00 90.00 90.00
Sites, in units of the cell vectors:
F 0.500 0.000 0.000
F 0.000 0.500 0.000
N 0.000 0.000 0.500
Ga 0.500 0.500 0.500
Fe 0.000 0.000 0.000

final energy	-4.899	eV per atom
polymorph energy (0 for the lowest one)	0.082	eV/atom

Entry 16:
A geometry-optimized NaGaFeF6 structure. Source: Alexandria, functional PBE with a Hubbard U.

a b c (Å): 5.353 5.353 9.755
angles (deg): 90.00 90.00 120.00
Sites, in units of the cell vectors:
F 0.650 0.024 0.359
F 0.350 0.976 0.641
F 0.374 0.024 0.141
F 0.976 0.350 0.141
F 0.374 0.350 0.359
F 0.350 0.374 0.859
F 0.024 0.650 0.859
F 0.650 0.626 0.141
F 0.024 0.374 0.641
F 0.626 0.650 0.641
F 0.626 0.976 0.859
F 0.976 0.626 0.359
Fe 0.667 0.333 0.750
Fe 0.333 0.667 0.250
Ga 0.333 0.667 0.750
Ga 0.667 0.333 0.250
Na 0.000 0.000 0.000
Na 0.000 0.000 0.500

final energy	-4.872	eV per atom

Entry 17:
A geometry-optimized Na2GaFeF8 structure. Source: Alexandria, functional PBE with a Hubbard U.

a b c (Å): 5.035 5.007 6.280
angles (deg): 89.41 90.59 93.15
Sites, in units of the cell vectors:
F 0.733 0.733 0.000
F 0.825 0.177 0.758
F 0.267 0.267 0.000
F 0.170 0.828 0.748
F 0.175 0.823 0.242
F 0.733 0.734 0.500
F 0.267 0.266 0.500
F 0.830 0.172 0.252
Na 0.501 0.499 0.752
Na 0.499 0.501 0.248
Ga 0.000 0.000 0.000
Fe 0.000 0.000 0.500

final energy	-4.713	eV per atom

Entry 18:
A geometry-optimized Ga2FeOF structure. Source: Alexandria, functional PBE with a Hubbard U.

a b c (Å): 5.567 3.751 5.567
angles (deg): 90.00 90.00 90.00
Sites, in units of the cell vectors:
Ga 0.000 0.000 0.500
Ga 0.500 0.000 0.000
Fe 0.000 0.500 0.000
O 0.000 0.000 0.000
F 0.500 0.500 0.500

final energy	-4.249	eV per atom

Entry 19:
A geometry-optimized GaFeOF2 structure. Source: Alexandria, functional PBE with a Hubbard U.

a b c (Å): 4.068 4.068 3.671
angles (deg): 90.00 90.00 90.00
Sites, in units of the cell vectors:
F 0.000 0.500 0.000
F 0.500 0.000 0.000
Fe 0.500 0.500 0.500
O 0.000 0.000 0.500
Ga 0.000 0.000 0.000

final energy	-4.885	eV per atom

Entry 20:
A geometry-optimized Ga2FePF structure. Source: Alexandria, functional PBE with a Hubbard U.

a b c (Å): 4.982 3.832 4.982
angles (deg): 90.00 90.00 90.00
Sites, in units of the cell vectors:
Ga 0.000 0.000 0.500
Ga 0.500 0.000 0.000
P 0.000 0.000 0.000
Fe 0.500 0.500 0.500
F 0.000 0.500 0.000

final energy	-3.545	eV per atom

Entry 21:
A geometry-optimized GaFeP2F structure. Source: Alexandria, functional PBE with a Hubbard U.

a b c (Å): 4.902 3.808 4.902
angles (deg): 90.00 90.00 90.00
Sites, in units of the cell vectors:
P 0.500 0.000 0.000
P 0.000 0.000 0.500
Fe 0.500 0.500 0.500
Ga 0.000 0.000 0.000
F 0.000 0.500 0.000

final energy	-4.075	eV per atom

Entry 22:
A geometry-optimized RbGaFeF6 structure. Source: Alexandria, functional PBE with a Hubbard U.

a b c (Å): 5.452 5.467 6.019
angles (deg): 89.98 89.95 60.08
Sites, in units of the cell vectors:
F 0.369 0.604 0.317
F 0.372 0.024 0.680
F 0.021 0.370 0.322
F 0.609 0.370 0.678
F 0.604 0.024 0.320
F 0.027 0.604 0.683
Ga 0.332 0.335 0.500
Rb 0.999 0.001 0.000
Fe 0.666 0.668 0.500

final energy	-4.993	eV per atom

Entry 23:
A geometry-optimized TlGaFeF6 structure. Source: Alexandria, functional PBE with a Hubbard U.

a b c (Å): 5.472 5.472 11.977
angles (deg): 90.00 90.00 120.00
Sites, in units of the cell vectors:
F 0.607 0.631 0.660
F 0.631 0.024 0.340
F 0.024 0.393 0.660
F 0.976 0.369 0.160
F 0.393 0.369 0.340
F 0.607 0.976 0.840
F 0.024 0.631 0.840
F 0.369 0.393 0.840
F 0.631 0.607 0.160
F 0.393 0.024 0.160
F 0.976 0.607 0.340
F 0.369 0.976 0.660
Ga 0.667 0.333 0.250
Ga 0.333 0.667 0.750
Fe 0.667 0.333 0.750
Fe 0.333 0.667 0.250
Tl 0.000 0.000 0.500
Tl 0.000 0.000 0.000

final energy	-4.905	eV per atom